Here is a relaxed Ce2HoSb3 crystal from Alexandria via LeMat-Bulk. Energies are from PBE.

The calculation puts the density of states at the Fermi level at 13.0 states/eV/f.u. Its uncorrected formation energy is -1059 meV per atom. The calculation puts the relative energy among the computed polymorphs at 2.6 meV per atom. The total DFT energy (no corrections) is -5.861 eV per atom. For the total magnetization, the calculation gives 6.58 μB per cell.

The space group is P2_1/c (No. 14) and the conventional cell measures 6.3074, 13.3666 and 8.9101 Å, with angles of 90.00, 90.00 and 90.00 degrees. The asymmetric unit holds Ce at (0.2494, 0.2474, 0.1252), Ce at (0.2503, 0.5827, 0.6268), Ho at (0.2503, 0.5852, 0.1239), Sb at (0.2497, 0.0810, 0.8699), Sb at (0.2497, 0.0817, 0.3801) and Sb at (0.2506, 0.7496, 0.3754).

***

Here is a relaxed Dy2Sc3 crystal from Alexandria via LeMat-Bulk. Energies are from PBE.

The calculation puts the density of states at the Fermi level at 7.7 states/eV/f.u. As for the formation energy from the elements: 111 meV/atom. The calculation puts the relative energy among the computed polymorphs at 0.0 meV per atom. The total DFT energy (no corrections) is -5.529 eV per atom. For the total magnetization, the calculation gives 0.00 μB per cell.

The space group is Fdd2 (No. 43) and the conventional cell measures 11.1135, 29.6843 and 3.2897 Å, with angles of 90.00, 90.00 and 90.00 degrees. The asymmetric unit holds Dy at (0.0200, 0.3015, 0.0000), Sc at (0.0000, 0.0000, 0.3320) and Sc at (0.0356, 0.4018, 0.3838).

***

- The lowest relative energy among the computed polymorphs belongs to which entry?
  Dy2Sc3

***

- Among the records above, which one has the highest total DFT energy (no corrections)?
  Dy2Sc3

***

Repeat the second record exactly.
Here is a relaxed Dy2Sc3 crystal from Alexandria via LeMat-Bulk. Energies are from PBE.

The calculation puts the density of states at the Fermi level at 7.7 states/eV/f.u. As for the formation energy from the elements: 111 meV/atom. The calculation puts the relative energy among the computed polymorphs at 0.0 meV per atom. The total DFT energy (no corrections) is -5.529 eV per atom. For the total magnetization, the calculation gives 0.00 μB per cell.

The space group is Fdd2 (No. 43) and the conventional cell measures 11.1135, 29.6843 and 3.2897 Å, with angles of 90.00, 90.00 and 90.00 degrees. The asymmetric unit holds Dy at (0.0200, 0.3015, 0.0000), Sc at (0.0000, 0.0000, 0.3320) and Sc at (0.0356, 0.4018, 0.3838).

***

- total DFT energy (no corrections) of number 2 (Dy2Sc3)?
  -5.529 eV per atom